# 1
Compound: LaNiSn2Pt
Source: OQMD
Functional: PBE
Structure: relaxed

Geometry as POSCAR:
```
LaNiSn2Pt
1.0
4.571 0.000 0.000
0.000 4.571 0.000
0.000 0.000 10.376
La Ni Sn Pt
2 2 4 2
Direct
0.250 0.250 0.247 La
0.750 0.750 0.753 La
0.250 0.250 0.619 Ni
0.750 0.750 0.381 Ni
0.250 0.250 0.860 Sn
0.250 0.750 0.500 Sn
0.750 0.250 0.500 Sn
0.750 0.750 0.140 Sn
0.250 0.750 0.000 Pt
0.750 0.250 0.000 Pt
```

Output
As for the crystal system: tetragonal. The energy relative to the lowest polymorph listed for this composition comes out at 0.022 eV per atom.

# 2
Compound: Cu2Te
Source: OQMD
Functional: PBE
Structure: relaxed

Geometry as POSCAR:
```
Cu2Te
1.0
8.217 0.000 0.000
-4.108 7.116 0.000
0.000 0.000 23.837
Cu Te
48 24
Direct
0.000 0.000 0.000 Cu
0.000 0.000 0.127 Cu
0.000 0.000 0.701 Cu
0.000 0.000 0.896 Cu
0.000 0.500 0.005 Cu
0.001 0.500 0.704 Cu
0.001 0.501 0.899 Cu
0.033 0.517 0.413 Cu
0.163 0.326 0.640 Cu
0.163 0.837 0.640 Cu
0.166 0.331 0.741 Cu
0.166 0.834 0.741 Cu
0.167 0.334 0.958 Cu
0.167 0.833 0.958 Cu
0.182 0.365 0.180 Cu
0.182 0.818 0.180 Cu
0.326 0.163 0.188 Cu
0.333 0.166 0.942 Cu
0.333 0.667 0.119 Cu
0.333 0.667 0.686 Cu
0.333 0.667 0.945 Cu
0.336 0.168 0.689 Cu
0.483 0.517 0.413 Cu
0.483 0.967 0.413 Cu
0.499 0.501 0.899 Cu
0.499 0.999 0.899 Cu
0.500 0.000 0.005 Cu
0.500 0.500 0.005 Cu
0.500 0.500 0.704 Cu
0.500 0.999 0.704 Cu
0.508 0.017 0.123 Cu
0.508 0.492 0.123 Cu
0.635 0.818 0.180 Cu
0.666 0.833 0.958 Cu
0.667 0.333 0.174 Cu
0.667 0.333 0.277 Cu
0.667 0.333 0.641 Cu
0.667 0.333 0.742 Cu
0.667 0.333 0.957 Cu
0.669 0.834 0.741 Cu
0.674 0.837 0.640 Cu
0.832 0.168 0.689 Cu
0.832 0.664 0.689 Cu
0.834 0.166 0.942 Cu
0.834 0.667 0.942 Cu
0.837 0.163 0.188 Cu
0.837 0.674 0.188 Cu
0.983 0.492 0.123 Cu
0.000 0.000 0.239 Te
0.000 0.000 0.589 Te
0.005 0.502 0.592 Te
0.014 0.507 0.240 Te
0.161 0.322 0.357 Te
0.161 0.839 0.357 Te
0.162 0.324 0.068 Te
0.162 0.838 0.068 Te
0.166 0.333 0.473 Te
0.166 0.834 0.473 Te
0.168 0.336 0.848 Te
0.168 0.832 0.848 Te
0.493 0.507 0.240 Te
0.493 0.986 0.240 Te
0.498 0.502 0.592 Te
0.498 0.995 0.592 Te
0.664 0.832 0.848 Te
0.667 0.333 0.065 Te
0.667 0.333 0.383 Te
0.667 0.333 0.505 Te
0.667 0.333 0.848 Te
0.667 0.834 0.473 Te
0.676 0.838 0.068 Te
0.678 0.839 0.357 Te
```

Output
As for the crystal system: trigonal.

VASP energy, record by record: -28.233 -10.318 eV per formula unit